Below is an optimized crystal structure of Ca2MnAs2O10, with properties calculated at the PBE with a Hubbard U level.

Results
* M_tot: 2.00 Bohr magnetons per cell
* symmetry: P2_1/c, No. 14
* electronic total energy: -6.28 eV/atom

Cell lengths 5.805, 14.148, 5.420 Å; angles 90.00, 103.86, 90.00 degrees
Sites, in units of the cell vectors:
Ca (0.005, 0.147, 0.166)
Ca (0.005, 0.353, 0.666)
Ca (0.995, 0.647, 0.334)
Ca (0.995, 0.853, 0.834)
Mn (0.500, 0.000, 0.000)
Mn (0.500, 0.500, 0.500)
As (0.349, 0.621, 0.971)
As (0.349, 0.879, 0.471)
As (0.651, 0.121, 0.529)
As (0.651, 0.379, 0.029)
O (0.132, 0.702, 0.968)
O (0.132, 0.798, 0.468)
O (0.279, 0.538, 0.186)
O (0.279, 0.567, 0.672)
O (0.279, 0.933, 0.172)
O (0.279, 0.962, 0.686)
O (0.325, 0.109, 0.999)
O (0.325, 0.391, 0.499)
O (0.368, 0.158, 0.439)
O (0.368, 0.342, 0.939)
O (0.632, 0.658, 0.061)
O (0.632, 0.842, 0.561)
O (0.675, 0.609, 0.501)
O (0.675, 0.891, 0.001)
O (0.721, 0.038, 0.314)
O (0.721, 0.067, 0.828)
O (0.721, 0.433, 0.328)
O (0.721, 0.462, 0.814)
O (0.868, 0.202, 0.532)
O (0.868, 0.298, 0.032)